Computed, not measured: a geometry-optimized BAu2Se structure at the PBEsol level of DFT.

abc: 6.3378 6.3378 6.3378
angles: 90.00 90.00 90.00
Last column: nearest neighbours and their distance in Å.
Atoms (fractional coordinates):
1 B 0.0000 0.0000 0.0000  8 Au 2.74
2 B 0.0000 0.5000 0.5000  8 Au 2.74
3 B 0.5000 0.0000 0.5000  8 Au 2.74
4 B 0.5000 0.5000 0.0000  8 Au 2.74
5 Au 0.2500 0.2500 0.2500  4 Se 2.74, 4 B 2.74
6 Au 0.2500 0.2500 0.7500  4 Se 2.74, 4 B 2.74
7 Au 0.2500 0.7500 0.2500  4 Se 2.74, 4 B 2.74
8 Au 0.2500 0.7500 0.7500  4 Se 2.74, 4 B 2.74
9 Au 0.7500 0.2500 0.2500  4 Se 2.74, 4 B 2.74
10 Au 0.7500 0.2500 0.7500  4 Se 2.74, 4 B 2.74
11 Au 0.7500 0.7500 0.2500  4 Se 2.74, 4 B 2.74
12 Au 0.7500 0.7500 0.7500  4 Se 2.74, 4 B 2.74
13 Se 0.0000 0.0000 0.5000  8 Au 2.74
14 Se 0.0000 0.5000 0.0000  8 Au 2.74
15 Se 0.5000 0.0000 0.0000  8 Au 2.74
16 Se 0.5000 0.5000 0.5000  8 Au 2.74

Values from the calculation:
raw formation energy	0.9565	eV per atom
space-group type	No. 225
volume	255	Å³/cell